First-principles (GGA-PBEsol) data for a geometry-optimized CrHgTe3 structure, as listed in Alexandria.

Properties
The value obtained for the electronic total energy is -3.9409 eV per atom. For the density of states at the Fermi level, the calculation gives 6.30 states/eV/f.u. The crystal system is cubic. As for the density: 7.73 Mg/m³. Its energy relative to the elements, uncorrected is 0.337 eV per atom. As for the volume: 137 Å³ per cell.

abc: 5.1498 5.1498 5.1498
angles: 90.00 90.00 90.00
Space group Pm-3m (No. 221)
One atom of each set of equivalent atoms:
Cr 0.0000 0.0000 0.0000 x1
Hg 0.5000 0.5000 0.5000 x1
Te 0.0000 0.0000 0.5000 x3


First-principles (GGA-PBEsol) data for a geometry-optimized Mn2Zn2Pd structure, as listed in Alexandria.

Properties
The value obtained for the electronic total energy is -5.3197 eV per atom. For the density of states at the Fermi level, the calculation gives 3.03 states/eV/f.u. For the formation energy, the calculation gives 409 meV/atom. The crystal system is tetragonal. As for the density: 7.46 Mg/m³. As for the volume: 155 Å³ per cell.

abc: 3.3570 3.3570 13.7182
angles: 90.00 90.00 90.00
Space group I4/mmm (No. 139)
One atom of each set of equivalent atoms:
Mn 0.0000 0.0000 0.0968 x4
Zn 0.0000 0.5000 0.2500 x4
Pd 0.0000 0.0000 0.5000 x2


First-principles (GGA-PBEsol) data for a geometry-optimized ZrCrIr2 structure, as listed in Alexandria.

Properties
The value obtained for the electronic total energy is -9.8357 eV per atom. For the density of states at the Fermi level, the calculation gives 4.28 states/eV/f.u. For the formation energy, the calculation gives -91 meV/atom. The crystal system is tetragonal. As for the density: 14.23 Mg/m³. The energy relative to the lowest polymorph listed for this composition comes out at 0.3612 eV/atom. As for the volume: 62 Å³ per cell.

abc: 3.2127 3.2127 5.9677
angles: 90.00 90.00 90.00
Space group P4mm (No. 99)
One atom of each set of equivalent atoms:
Zr 0.0000 0.0000 0.0000 x1
Cr 0.5000 0.5000 0.3017 x1
Ir 0.0000 0.0000 0.4692 x1
Ir 0.5000 0.5000 0.7558 x1


First-principles (GGA-PBEsol) data for a geometry-optimized BaNbPBr2 structure, as listed in Alexandria.

Properties
The value obtained for the electronic total energy is -3.7589 eV per atom. For the density of states at the Fermi level, the calculation gives 5.20 states/eV/f.u. The crystal system is tetragonal. As for the density: 4.31 Mg/m³. Its energy relative to the elements, uncorrected is 0.741 eV per atom. As for the volume: 162 Å³ per cell.

abc: 5.1541 5.1541 6.1003
angles: 90.00 90.00 90.00
Space group P4/mmm (No. 123)
One atom of each set of equivalent atoms:
Ba 0.0000 0.0000 0.0000 x1
Nb 0.5000 0.5000 0.0000 x1
P 0.0000 0.0000 0.5000 x1
Br 0.0000 0.5000 0.5000 x2


First-principles (GGA-PBEsol) data for a geometry-optimized TcSbPt2 structure, as listed in Alexandria.

Properties
The value obtained for the electronic total energy is -7.3909 eV per atom. For the density of states at the Fermi level, the calculation gives 5.43 states/eV/f.u. The crystal system is tetragonal. As for the density: 15.86 Mg/m³. Its energy relative to the elements, uncorrected is 0.047 eV per atom. As for the volume: 128 Å³ per cell.

abc: 4.1585 4.1585 7.3851
angles: 90.00 90.00 90.00
Space group I-4m2 (No. 119)
One atom of each set of equivalent atoms:
Tc 0.0000 0.0000 0.0000 x2
Sb 0.0000 0.5000 0.7500 x2
Pt 0.0000 0.0000 0.5000 x2
Pt 0.0000 0.5000 0.2500 x2


First-principles (GGA-PBEsol) data for a geometry-optimized LaIr2Ru structure, as listed in Alexandria.

Properties
The value obtained for the electronic total energy is -8.4071 eV per atom. For the density of states at the Fermi level, the calculation gives 7.98 states/eV/f.u. For the formation energy, the calculation gives 384 meV/atom. The crystal system is cubic. As for the density: 14.96 Mg/m³. The energy relative to the lowest polymorph listed for this composition comes out at 0.3468 eV/atom. As for the volume: 277 Å³ per cell.

abc: 6.5203 6.5203 6.5203
angles: 90.00 90.00 90.00
Space group F-43m (No. 216)
One atom of each set of equivalent atoms:
La 0.0000 0.0000 0.0000 x4
Ir 0.0000 0.0000 0.5000 x4
Ir 0.2500 0.2500 0.7500 x4
Ru 0.2500 0.2500 0.2500 x4


- Among the records above, which one has the highest electronic total energy?
  BaNbPBr2


Repeat the second record exactly.
First-principles (GGA-PBEsol) data for a geometry-optimized Mn2Zn2Pd structure, as listed in Alexandria.

Properties
The value obtained for the electronic total energy is -5.3197 eV per atom. For the density of states at the Fermi level, the calculation gives 3.03 states/eV/f.u. For the formation energy, the calculation gives 409 meV/atom. The crystal system is tetragonal. As for the density: 7.46 Mg/m³. As for the volume: 155 Å³ per cell.

abc: 3.3570 3.3570 13.7182
angles: 90.00 90.00 90.00
Space group I4/mmm (No. 139)
One atom of each set of equivalent atoms:
Mn 0.0000 0.0000 0.0968 x4
Zn 0.0000 0.5000 0.2500 x4
Pd 0.0000 0.0000 0.5000 x2


What did the fourth record say?
First-principles (GGA-PBEsol) data for a geometry-optimized BaNbPBr2 structure, as listed in Alexandria.

Properties
The value obtained for the electronic total energy is -3.7589 eV per atom. For the density of states at the Fermi level, the calculation gives 5.20 states/eV/f.u. The crystal system is tetragonal. As for the density: 4.31 Mg/m³. Its energy relative to the elements, uncorrected is 0.741 eV per atom. As for the volume: 162 Å³ per cell.

abc: 5.1541 5.1541 6.1003
angles: 90.00 90.00 90.00
Space group P4/mmm (No. 123)
One atom of each set of equivalent atoms:
Ba 0.0000 0.0000 0.0000 x1
Nb 0.5000 0.5000 0.0000 x1
P 0.0000 0.0000 0.5000 x1
Br 0.0000 0.5000 0.5000 x2